The following is a PBE-GGA calculation of an optimized crystal structure of V3Fe2Ni5, from Alexandria via LeMat-Bulk.

The structure in POSCAR format:
```
V3Fe2Ni5
1.0
-0.430 -0.016 -4.577
-6.610 -3.952 -1.674
-2.589 7.144 -2.091
Ni V Fe
10 6 4
Direct
0.498 0.752 0.752
0.250 0.500 0.500
0.998 0.752 0.752
0.654 0.691 0.001
0.002 0.248 0.248
0.154 0.001 0.691
0.846 0.999 0.309
0.750 0.500 0.500
0.502 0.248 0.248
0.346 0.309 0.999
0.351 0.493 0.804
0.149 0.196 0.507
0.250 0.000 0.000
0.750 0.000 0.000
0.851 0.804 0.493
0.649 0.507 0.196
0.583 0.172 0.662
0.917 0.338 0.828
0.083 0.662 0.172
0.417 0.828 0.338
```

The calculation puts the energy of formation at 263 meV/atom.


The following is a PBE-GGA calculation of an optimized crystal structure of TbPr5Ho3, from Alexandria via LeMat-Bulk.

The structure in POSCAR format:
```
TbPr5Ho3
1.0
4.422 -9.877 2.154
8.956 -6.415 -0.614
7.237 -2.270 9.020
Pr Tb Ho
10 2 6
Direct
0.004 0.356 0.971
0.996 0.644 0.029
0.190 0.532 0.618
0.532 0.190 0.118
0.810 0.468 0.382
0.468 0.810 0.882
0.405 0.595 0.750
0.644 0.996 0.529
0.595 0.405 0.250
0.356 0.004 0.471
0.894 0.106 0.750
0.106 0.894 0.250
0.047 0.602 0.326
0.398 0.953 0.174
0.000 0.000 0.500
0.000 0.000 0.000
0.953 0.398 0.674
0.602 0.047 0.826
```

The energy above the most stable polymorph in this dataset is 0 meV/atom. The calculation puts the energy of formation at 270 meV/atom.


The following is a PBE-GGA calculation of an optimized crystal structure of SbRh2Br, from Alexandria via LeMat-Bulk.

The structure in POSCAR format:
```
SbRh2Br
1.0
-0.854 -2.973 1.762
2.273 0.894 2.610
-4.434 2.961 2.847
Rh Br Sb
2 1 1
Direct
0.500 0.500 0.254
0.000 0.000 0.976
0.500 0.500 0.849
0.000 0.000 0.420
```

The energy above the most stable polymorph in this dataset is 173 meV/atom. The uncorrected formation energy is 6 kJ/mol of formula units.


The following is a PBE-GGA calculation of an optimized crystal structure of ZrAlCu2, from Alexandria via LeMat-Bulk.

The structure in POSCAR format:
```
ZrAlCu2
1.0
3.086 0.000 0.000
0.000 3.089 0.000
0.000 0.000 6.489
Zr Cu Al
1 2 1
Direct
0.000 0.000 0.487
0.500 0.500 0.209
0.000 0.000 0.009
0.500 0.500 0.795
```

The calculation puts the energy of formation at -216 meV/atom.


The following is a PBE-GGA calculation of an optimized crystal structure of La2SbCl, from Alexandria via LeMat-Bulk.

The structure in POSCAR format:
```
La2SbCl
1.0
0.000 3.837 3.837
3.837 0.000 3.837
3.837 3.837 0.000
La Cl Sb
2 1 1
Direct
0.250 0.250 0.250
0.750 0.750 0.750
0.000 0.000 0.000
0.500 0.500 0.500
```

The uncorrected formation energy is -512 kJ/mol of formula units.


The following is a PBE-GGA calculation of an optimized crystal structure of Pa6PC3S2, from Alexandria via LeMat-Bulk.

The structure in POSCAR format:
```
Pa6PC3S2
1.0
3.700 0.000 0.000
0.000 7.665 0.084
-1.850 -2.409 7.953
S Pa C P
2 6 3 1
Direct
0.167 0.333 0.334
0.833 0.667 0.666
0.659 0.601 0.318
0.326 0.934 0.653
0.007 0.733 0.013
0.674 0.066 0.347
0.341 0.399 0.682
0.993 0.267 0.987
0.500 0.500 0.000
0.834 0.168 0.667
0.166 0.832 0.333
0.500 0.000 0.000
```

The uncorrected formation energy is -1195 kJ/mol of formula units.


The following is a PBE-GGA calculation of an optimized crystal structure of ZnCd2Ag7Sn2, from Alexandria via LeMat-Bulk.

The structure in POSCAR format:
```
ZnCd2Ag7Sn2
1.0
3.957 0.001 0.007
0.005 3.957 0.007
1.858 1.856 15.789
Cd Ag Sn Zn
2 7 2 1
Direct
0.635 0.635 0.727
0.365 0.365 0.273
0.273 0.273 0.457
0.500 0.500 0.000
0.066 0.566 0.865
0.934 0.434 0.135
0.566 0.066 0.865
0.434 0.934 0.135
0.727 0.727 0.543
0.179 0.179 0.637
0.821 0.821 0.363
0.000 0.000 0.000
```

The calculation puts the energy of formation at 60 meV/atom.


The following is a PBE-GGA calculation of an optimized crystal structure of ZrTa4Ir5, from Alexandria via LeMat-Bulk.

The structure in POSCAR format:
```
ZrTa4Ir5
1.0
-1.989 -2.110 0.395
1.728 -1.893 -1.411
8.354 -4.764 16.620
Ir Ta Zr
5 4 1
Direct
0.500 0.500 0.301
0.500 0.500 0.500
0.500 0.500 0.699
0.500 0.500 0.107
0.500 0.500 0.893
0.000 0.000 0.599
0.000 0.000 0.202
0.000 0.000 0.401
0.000 0.000 0.798
0.000 0.000 0.000
```

The calculation puts the energy of formation at -602 meV/atom.


The following is a PBE-GGA calculation of an optimized crystal structure of Li2ZrSe, from Alexandria via LeMat-Bulk.

The structure in POSCAR format:
```
Li2ZrSe
1.0
-1.464 1.762 4.888
1.134 -2.966 4.366
2.414 2.089 -4.354
Li Se Zr
2 1 1
Direct
0.008 0.008 0.000
0.695 0.195 0.500
0.522 0.522 0.000
0.275 0.775 0.500
```

The uncorrected formation energy is -141 kJ/mol of formula units.


The following is a PBE-GGA calculation of an optimized crystal structure of SiTePb2, from Alexandria via LeMat-Bulk.

The structure in POSCAR format:
```
SiTePb2
1.0
-2.592 -3.051 -3.589
-1.565 -3.306 3.941
-3.200 2.121 0.508
Si Pb Te
1 2 1
Direct
0.500 0.000 0.500
0.000 0.000 0.000
0.500 0.500 0.000
0.000 0.500 0.500
```

The energy above the most stable polymorph in this dataset is 112 meV/atom. The uncorrected formation energy is 108 kJ/mol of formula units.


The following is a PBE-GGA calculation of an optimized crystal structure of NaAgSnTe3, from Alexandria via LeMat-Bulk.

The structure in POSCAR format:
```
NaAgSnTe3
1.0
4.383 0.000 0.000
0.000 8.857 0.925
0.000 -2.505 9.089
Na Te Ag Sn
2 6 2 2
Direct
0.250 0.177 0.258
0.750 0.823 0.742
0.250 0.566 0.826
0.250 0.743 0.463
0.750 0.257 0.537
0.250 0.108 0.895
0.750 0.434 0.174
0.750 0.892 0.105
0.250 0.063 0.585
0.750 0.937 0.415
0.750 0.332 0.860
0.250 0.668 0.140
```

The uncorrected formation energy is -181 kJ/mol of formula units.


The following is a PBE-GGA calculation of an optimized crystal structure of AlCr2Re, from Alexandria via LeMat-Bulk.

The structure in POSCAR format:
```
AlCr2Re
1.0
-2.027 2.083 0.653
-1.269 -0.399 -2.665
-3.583 -4.219 2.339
Cr Al Re
2 1 1
Direct
0.000 0.000 0.018
0.500 0.500 0.238
0.500 0.500 0.756
0.000 0.000 0.488
```

The calculation puts the energy of formation at -38 meV/atom.


The following is a PBE-GGA calculation of an optimized crystal structure of Mg5Sn2Au2, from Alexandria via LeMat-Bulk.

The structure in POSCAR format:
```
Mg5Sn2Au2
1.0
6.824 0.000 2.477
0.000 7.368 0.000
0.839 0.000 8.327
Mg Au Sn
10 4 4
Direct
0.000 0.000 0.000
0.041 0.663 0.241
0.959 0.337 0.759
0.718 0.337 0.241
0.782 0.837 0.759
0.282 0.663 0.759
0.500 0.500 0.000
0.459 0.163 0.759
0.218 0.163 0.241
0.541 0.837 0.241
0.360 0.860 0.000
0.640 0.140 0.000
0.140 0.360 0.000
0.860 0.640 0.000
0.284 0.500 0.432
0.716 0.500 0.568
0.784 0.000 0.432
0.216 0.000 0.568
```

The calculation puts the energy of formation at -324 meV/atom.


The following is a PBE-GGA calculation of an optimized crystal structure of K12PdAu6, from Alexandria via LeMat-Bulk.

The structure in POSCAR format:
```
K12PdAu6
1.0
9.351 0.000 -3.306
-4.675 8.098 -3.306
0.000 0.000 9.918
K Au Pd
12 6 1
Direct
0.295 0.120 0.825
0.175 0.295 0.471
0.529 0.825 0.705
0.471 0.175 0.295
0.880 0.175 0.705
0.295 0.471 0.175
0.705 0.880 0.175
0.825 0.705 0.529
0.825 0.295 0.120
0.705 0.529 0.825
0.175 0.705 0.880
0.120 0.825 0.295
0.500 0.126 0.626
0.874 0.374 0.500
0.126 0.626 0.500
0.374 0.500 0.874
0.626 0.500 0.126
0.500 0.874 0.374
0.000 0.000 0.000
```

The calculation puts the energy of formation at -148 meV/atom.


The following is a PBE-GGA calculation of an optimized crystal structure of Zr6FeCu, from Alexandria via LeMat-Bulk.

The structure in POSCAR format:
```
Zr6FeCu
1.0
-3.858 1.787 -1.725
-2.492 -2.619 2.826
-2.988 5.049 5.786
Cu Fe Zr
1 1 6
Direct
0.000 0.000 0.000
0.500 0.500 0.000
0.107 0.607 0.787
0.394 0.893 0.213
0.893 0.393 0.213
0.606 0.107 0.787
0.251 0.251 0.499
0.749 0.749 0.501
```

The calculation puts the energy of formation at -78 meV/atom.


The following is a PBE-GGA calculation of an optimized crystal structure of LaBeGe, from Alexandria via LeMat-Bulk.

The structure in POSCAR format:
```
LaBeGe
1.0
4.414 0.000 0.000
0.000 4.047 0.000
0.000 -2.023 3.504
La Be Ge
1 1 1
Direct
0.667 0.333 0.667
0.167 0.667 0.333
0.167 0.000 0.000
```

The calculation puts the energy of formation at -611 meV/atom.


The following is a PBE-GGA calculation of an optimized crystal structure of ZrCBr2, from Alexandria via LeMat-Bulk.

The structure in POSCAR format:
```
ZrCBr2
1.0
1.026 -3.553 -2.885
-2.198 -4.116 0.474
-3.116 -1.379 -3.222
Br Zr C
2 1 1
Direct
0.750 0.750 0.750
0.250 0.250 0.250
0.500 0.500 0.500
0.000 0.000 0.000
```

The energy above the most stable polymorph in this dataset is 0 meV/atom. The uncorrected formation energy is 371 kJ/mol of formula units.


The following is a PBE-GGA calculation of an optimized crystal structure of Pr8PS3Cl4, from Alexandria via LeMat-Bulk.

The structure in POSCAR format:
```
Pr8PS3Cl4
1.0
8.303 0.000 0.000
0.000 8.372 0.043
-4.152 -4.148 5.874
Pr Cl S P
8 4 3 1
Direct
0.238 0.714 0.477
0.737 0.714 0.975
0.762 0.286 0.025
0.263 0.286 0.025
0.737 0.711 0.474
0.263 0.289 0.526
0.238 0.714 0.975
0.762 0.286 0.523
0.500 0.000 0.500
0.000 0.000 0.000
0.000 0.000 0.500
0.500 0.000 0.000
0.500 0.500 0.000
0.000 0.500 0.500
0.500 0.500 0.500
0.000 0.500 0.000
```

The uncorrected formation energy is -2614 kJ/mol of formula units.


Ordered M_tot results: 0.23 0.00 0.00 0.00 0.00 0.00 0.00 0.00 0.00 0.00 0.00 0.41 0.00 0.00 0.04 0.13 0.00 0.00; unit μB/atom.